LiNi2Ag | PBE | optimized geometry

Calculated values
- Density of states at the Fermi level: 5.902 states/eV per cell
- DFT total energy: -15.9 eV/cell
- SG: No. 119

Cell lengths 4.406, 4.406, 4.406 Å; angles 128.01, 128.01, 76.60 degrees
Each line ends with the local moment (μB).
Fractional positions:
Ag  0.500  0.500  0.000  0.00
Li  0.750  0.250  0.500  -0.01
Ni  0.000  0.000  0.000  0.33
Ni  0.250  0.750  0.500  0.38

LiNiAg2 | PBE | optimized geometry

Calculated values
- Density of states at the Fermi level: 2.649 states/eV per cell
- DFT total energy: -13.2 eV/cell
- SG: No. 25

Cell lengths 2.787, 3.975, 5.474 Å; angles 90.00, 90.00, 90.00 degrees
Fractional positions:
Ag  0.000  0.000  0.974
Ag  0.500  0.500  0.266
Li  0.000  0.000  0.507
Ni  0.500  0.500  0.752

LiNi2Ag | PBE | optimized geometry

Calculated values
- Density of states at the Fermi level: 6.004 states/eV per cell
- DFT total energy: -15.7 eV/cell
- SG: No. 47

Cell lengths 2.607, 3.995, 5.034 Å; angles 90.00, 90.00, 90.00 degrees
Each line ends with the local moment (μB).
Fractional positions:
Ag  0.500  0.500  0.250  0.00
Li  0.500  0.500  0.750  -0.01
Ni  0.000  0.000  0.988  0.28
Ni  0.000  0.000  0.512  0.28

LiNi2Ag | PBE | optimized geometry

Calculated values
- Density of states at the Fermi level: 2.991 states/eV per cell
- DFT total energy: -16.0 eV/cell
- SG: No. 10

Cell lengths 4.381, 2.597, 4.552 Å; angles 83.99, 90.00, 90.00 degrees
Fractional positions:
Ag  0.500  0.250  0.250
Li  0.500  0.750  0.750
Ni  0.000  0.961  0.984
Ni  0.000  0.539  0.516

LiNiAg | PBE | optimized geometry

Calculated values
- ΔE to the lowest computed polymorph: 5 meV/atom
- Density of states at the Fermi level: 2.561 states/eV per cell
- DFT total energy: -10.4 eV/cell
- SG: No. 44

Cell lengths 4.657, 4.657, 4.657 Å; angles 146.47, 130.24, 61.35 degrees
Fractional positions:
Ag  0.003  0.003  0.000
Li  0.330  0.330  0.000
Ni  0.666  0.666  0.000

LiNi2Ag | PBE | optimized geometry

Calculated values
- Density of states at the Fermi level: 4.958 states/eV per cell
- DFT total energy: -16.0 eV/cell
- SG: No. 99

Cell lengths 2.695, 2.695, 7.378 Å; angles 90.00, 90.00, 90.00 degrees
Each line ends with the local moment (μB).
Fractional positions:
Ag  0.000  0.000  0.489  0.00
Li  0.500  0.500  0.774  -0.01
Ni  0.000  0.000  0.018  0.53
Ni  0.500  0.500  0.219  0.56

DFT formation energy for every record listed, in sequence, given in eV per atom: 0.1175, 0.0596, 0.1642, 0.0944, 0.0652, 0.0712.